VASP calculation (PBE) on an optimized crystal structure of Sc2Zn.

Summary:
Crystal system: hexagonal
Fermi-level density of states, states/eV/cell: 12.8
E_form, eV per atom: -0.150
Energy, eV/atom: -4.80

POSCAR file:
```
Sc2Zn
1.0
7.146 0.000 0.000
-3.573 6.189 0.000
0.000 0.000 4.348
Sc Zn
6 3
Direct
0.000 0.258 0.000
0.000 0.592 0.500
0.258 0.000 0.000
0.408 0.408 0.500
0.592 0.000 0.500
0.742 0.742 0.000
0.000 0.000 0.500
0.333 0.667 0.000
0.667 0.333 0.000
```

VASP calculation (PBE) on an optimized crystal structure of Tb5Al2.

Summary:
Crystal system: orthorhombic
Fermi-level density of states, states/eV/cell: 16.2
E_form, eV per atom: -0.182
Offset from the most stable computed form, eV/f.u.: 0.13
Energy, eV/atom: -4.56

POSCAR file:
```
Tb5Al2
1.0
-3.997 7.287 3.312
3.997 -7.287 3.312
3.997 7.287 -3.312
Tb Al
10 4
Direct
0.015 0.250 0.765
0.084 0.663 0.748
0.250 0.250 0.000
0.416 0.163 0.579
0.485 0.250 0.235
0.515 0.750 0.765
0.584 0.837 0.421
0.750 0.750 0.000
0.916 0.337 0.252
0.985 0.750 0.235
0.126 0.271 0.398
0.374 0.771 0.145
0.626 0.229 0.855
0.874 0.729 0.602
```

VASP calculation (PBE) on an optimized crystal structure of BaFePt3.

Summary:
Crystal system: cubic
Fermi-level density of states, states/eV/cell: 12.7
E_form, eV per atom: 2.043
Offset from the most stable computed form, eV/f.u.: 10.21
Energy, eV/atom: -3.66

POSCAR file:
```
BaFePt3
1.0
5.354 0.000 0.000
0.000 5.354 0.000
0.000 0.000 5.354
Ba Fe Pt
1 1 3
Direct
0.000 0.000 0.000
0.500 0.500 0.500
0.000 0.000 0.500
0.000 0.500 0.000
0.500 0.000 0.000
```